No. 1
Computed, not measured: a relaxed Tb2ZnRu crystal at the PBE-GGA level of DFT.

As for the total energy: -4.8172 eV/atom. Its total magnetization is 0.0 Bohr magnetons per cell.

```
data_Tb2ZnRu
_symmetry_space_group_name_H-M 'R -3 m'
_symmetry_Int_Tables_number 166
_symmetry_space_group_name_Hall '-R 3 2"'
_cell_length_a 3.8872
_cell_length_b 3.8872
_cell_length_c 28.4232
_cell_angle_alpha 90.00
_cell_angle_beta 90.00
_cell_angle_gamma 120.00
loop_
_atom_site_label
_atom_site_fract_x
_atom_site_fract_y
_atom_site_fract_z
Tb1 0.0000 0.0000 0.1125
Zn1 0.0000 0.0000 0.0000
Ru1 0.0000 0.0000 0.5000
```


No. 2
Computed, not measured: a relaxed Tb2Zn3Ru2 crystal at the PBE-GGA level of DFT.

As for the total energy: -4.8122 eV/atom. Its total magnetization is 0.0 Bohr magnetons per cell.

```
data_Tb2Zn3Ru2
_symmetry_space_group_name_H-M 'C 1 2/m 1'
_symmetry_Int_Tables_number 12
_cell_length_a 10.1375
_cell_length_b 4.3589
_cell_length_c 6.3392
_cell_angle_alpha 90.00
_cell_angle_beta 106.17
_cell_angle_gamma 90.00
loop_
_symmetry_equiv_pos_as_xyz
'x,y,z'
'-x,-y,-z'
'-x,y,-z'
'x,-y,z'
'x+1/2,y+1/2,z'
'-x+1/2,-y+1/2,-z'
'-x+1/2,y+1/2,-z'
'x+1/2,-y+1/2,z'
loop_
_atom_site_label
_atom_site_fract_x
_atom_site_fract_y
_atom_site_fract_z
Tb1 0.1203 0.0000 0.3454
Zn1 0.0000 0.5000 0.0000
Zn2 0.2071 0.0000 0.8777
Ru1 0.0900 0.5000 0.6724
```


No. 3
Computed, not measured: a relaxed Tb3Zn4Ru2 crystal at the PBE-GGA level of DFT.

As for the total energy: -4.4729 eV/atom. Its total magnetization is 0.0 Bohr magnetons per cell.

```
data_Tb3Zn4Ru2
_symmetry_space_group_name_H-M 'C 1 2/m 1'
_symmetry_Int_Tables_number 12
_cell_length_a 9.8351
_cell_length_b 4.5894
_cell_length_c 8.4385
_cell_angle_alpha 90.00
_cell_angle_beta 110.94
_cell_angle_gamma 90.00
loop_
_symmetry_equiv_pos_as_xyz
'x,y,z'
'-x,-y,-z'
'-x,y,-z'
'x,-y,z'
'x+1/2,y+1/2,z'
'-x+1/2,-y+1/2,-z'
'-x+1/2,y+1/2,-z'
'x+1/2,-y+1/2,z'
loop_
_atom_site_label
_atom_site_fract_x
_atom_site_fract_y
_atom_site_fract_z
Tb1 0.0000 0.0000 0.0000
Tb2 0.1475 0.5000 0.6844
Zn1 0.0794 0.0000 0.4000
Zn2 0.2137 0.5000 0.0656
Ru1 0.1638 0.5000 0.3413
```


No. 4
Computed, not measured: a relaxed Tb2Zn2Ru crystal at the PBE-GGA level of DFT.

As for the total energy: -4.5691 eV/atom. Its total magnetization is 0.0 Bohr magnetons per cell.

```
data_Tb2Zn2Ru
_symmetry_space_group_name_H-M 'C 1 2/m 1'
_symmetry_Int_Tables_number 12
_cell_length_a 10.5085
_cell_length_b 3.8985
_cell_length_c 11.1492
_cell_angle_alpha 90.00
_cell_angle_beta 110.71
_cell_angle_gamma 90.00
loop_
_symmetry_equiv_pos_as_xyz
'x,y,z'
'-x,-y,-z'
'-x,y,-z'
'x,-y,z'
'x+1/2,y+1/2,z'
'-x+1/2,-y+1/2,-z'
'-x+1/2,y+1/2,-z'
'x+1/2,-y+1/2,z'
loop_
_atom_site_label
_atom_site_fract_x
_atom_site_fract_y
_atom_site_fract_z
Tb1 0.0013 0.0000 0.3362
Tb2 0.1961 0.0000 0.1266
Zn1 0.0256 0.5000 0.8930
Zn2 0.1705 0.5000 0.5471
Ru1 0.1964 0.5000 0.3108
```